(1)
LiAg3PdSe4: optimized geometry, PBE.

Cell: 6.0345 6.0345 6.0345 Å, 90.00 90.00 90.00°
Positions (direct):
Ag (0.5000, 0.5000, 0.0000)
Ag (0.5000, 0.0000, 0.5000)
Ag (0.0000, 0.5000, 0.5000)
Li (0.0000, 0.0000, 0.0000)
Pd (0.5000, 0.5000, 0.5000)
Se (0.2496, 0.2496, 0.2496)
Se (0.7504, 0.7504, 0.2496)
Se (0.7504, 0.2496, 0.7504)
Se (0.2496, 0.7504, 0.7504)

Values from the calculation:
ρ: 5.689 Mg/m³



(2)
PmGeAsO: optimized geometry, PBE.

Cell: 3.9171 6.2942 7.1017 Å, 90.00 90.00 90.00°
Positions (direct):
As (0.0000, 0.7686, 0.3979)
As (0.0000, 0.2314, 0.8979)
Ge (0.5000, 0.3876, 0.0785)
Ge (0.5000, 0.6124, 0.5785)
O (0.5000, 0.2369, 0.3082)
O (0.5000, 0.7631, 0.8082)
Pm (0.0000, 0.2428, 0.4695)
Pm (0.0000, 0.7572, 0.9695)

Values from the calculation:
ρ: 5.853 Mg/m³
Polymorph energy (0 for the lowest one): 103 meV per atom



(3)
Lu2Ge3Mo4C3: optimized geometry, PBE.

Cell: 5.5343 5.5343 13.6098 Å, 101.79 101.79 60.29°
Positions (direct):
C (0.0000, 0.5000, 0.0000)
C (0.3325, 0.8365, 0.0002)
C (0.1635, 0.6675, 0.4998)
C (0.5000, 0.0000, 0.5000)
C (0.8365, 0.3325, 0.5002)
C (0.6675, 0.1635, 0.9998)
Ge (0.8702, 0.5868, 0.2498)
Ge (0.9578, 0.0422, 0.2500)
Ge (0.4132, 0.1298, 0.2502)
Ge (0.5868, 0.8702, 0.7498)
Ge (0.0422, 0.9578, 0.7500)
Ge (0.1298, 0.4132, 0.7502)
Lu (0.3754, 0.5388, 0.1142)
Lu (0.4612, 0.6246, 0.3858)
Lu (0.5388, 0.3754, 0.6142)
Lu (0.6246, 0.4612, 0.8858)
Mo (0.6940, 0.8501, 0.0788)
Mo (0.0172, 0.1997, 0.0792)
Mo (0.8003, 0.9828, 0.4208)
Mo (0.1499, 0.3060, 0.4212)
Mo (0.8501, 0.6940, 0.5788)
Mo (0.1997, 0.0172, 0.5792)
Mo (0.9828, 0.8003, 0.9208)
Mo (0.3060, 0.1499, 0.9212)

Values from the calculation:
ρ: 9.323 Mg/m³



(4)
BaNpPt: optimized geometry, PBE.

Cell: 4.9696 4.9696 4.9696 Å, 60.00 60.00 60.00°
Positions (direct):
Ba (0.0000, 0.0000, 0.0000)
Np (0.2500, 0.2500, 0.2500)
Pt (0.7500, 0.7500, 0.7500)

Values from the calculation:
ρ: 10.895 Mg/m³
Polymorph energy (0 for the lowest one): 298 meV per atom



Number 1: energy -3.42 eV per atom. Number 2: energy -6.11 eV per atom. Number 3: energy -8.18 eV per atom. Number 4: energy -6.19 eV per atom.